[1]
# ZrW2C (PBE, optimized geometry)
data_ZrW2C
_chemical_formula_sum 'Zr1 W2 C1'
_space_group_name_H-M_alt 'P 1'
_space_group_IT_number 1
_cell_length_a 7.532
_cell_length_b 7.532
_cell_length_c 7.532
_cell_angle_alpha 23.78
_cell_angle_beta 23.78
_cell_angle_gamma 23.78
loop_
_space_group_symop_operation_xyz
'x,y,z'
loop_
_atom_site_label
_atom_site_fract_x
_atom_site_fract_y
_atom_site_fract_z
Zr1 0.000 0.000 0.000
W1 0.221 0.221 0.221
W2 0.779 0.779 0.779
C1 0.500 0.500 0.500
# DFT formation energy   22.9 kJ/mol of formula units
# Space-group type   No. 166



[2]
# ZrW2C (PBE, optimized geometry)
data_ZrW2C
_chemical_formula_sum 'Zr1 W2 C1'
_space_group_name_H-M_alt 'P 1'
_space_group_IT_number 1
_cell_length_a 3.138
_cell_length_b 4.266
_cell_length_c 5.182
_cell_angle_alpha 111.48
_cell_angle_beta 107.18
_cell_angle_gamma 90.16
loop_
_space_group_symop_operation_xyz
'x,y,z'
loop_
_atom_site_label
_atom_site_fract_x
_atom_site_fract_y
_atom_site_fract_z
Zr1 0.000 0.000 0.000
W1 0.327 0.321 0.643
W2 0.678 0.657 0.342
C1 0.323 0.821 0.640
# DFT formation energy   2.3 kJ/mol of formula units
# Space-group type   No. 1